# 1
The following is a GGA-PBE calculation of a geometry-optimized CrNiB structure, from the Alexandria database.

Properties
space-group type = P1 (1)

Structure (POSCAR):
```
CrNiB
1.0
3.917 0.000 0.000
-0.036 3.959 0.000
-0.912 -0.988 3.881
Cr Ni B
2 2 2
Cartesian
0.000 0.000 0.000
0.960 2.999 2.397
1.915 2.030 0.125
2.985 0.997 2.275
0.998 1.046 1.755
1.973 0.023 0.751
```

---

# 2
The following is a GGA-PBE calculation of a geometry-optimized BaHgMo2 structure, from the Alexandria database.

Properties
space-group type = P4/mmm (123)

Structure (POSCAR):
```
BaHgMo2
1.0
3.763 0.000 0.000
0.000 3.763 0.000
0.000 0.000 7.318
Ba Hg Mo
1 1 2
Cartesian
0.000 0.000 0.000
0.000 0.000 3.659
1.882 1.882 2.562
1.882 1.882 4.756
```

---

# 3
The following is a GGA-PBE calculation of a geometry-optimized HfVSn structure, from the Alexandria database.

Properties
space-group type = P3m1 (156)

Structure (POSCAR):
```
HfVSn
1.0
4.687 0.000 0.000
-2.343 4.059 0.000
0.000 0.000 3.051
Hf V Sn
1 1 1
Cartesian
0.000 0.000 0.000
0.000 2.706 1.998
2.343 1.353 1.338
```

---

# 4
The following is a GGA-PBE calculation of a geometry-optimized FeTc2Cl structure, from the Alexandria database.

Properties
energy relative to the lowest polymorph listed for this composition = 2.18 eV/f.u.
space-group type = Fm-3m (225)
formation energy without anion corrections = 0.79 eV per atom

Structure (POSCAR):
```
FeTc2Cl
1.0
5.996 0.000 0.000
0.000 5.996 0.000
0.000 0.000 5.996
Fe Tc Cl
4 8 4
Cartesian
0.000 0.000 0.000
0.000 2.998 2.998
2.998 0.000 2.998
2.998 2.998 0.000
1.499 1.499 1.499
1.499 1.499 4.497
1.499 4.497 1.499
1.499 4.497 4.497
4.497 1.499 1.499
4.497 1.499 4.497
4.497 4.497 1.499
4.497 4.497 4.497
0.000 0.000 2.998
0.000 2.998 0.000
2.998 0.000 0.000
2.998 2.998 2.998
```

---

VASP energy in eV/cell, matching the order above: -44.50 -20.65 -22.76 -111.51
Volume in A^3/atom, matching the order above: 10.0 25.9 19.4 13.5